Below is Sm3Pd3Pt5 after structural relaxation, with properties calculated at the PBE-GGA level.

Summary:
- Space-group type: No. 189
- Total magnetization: 0.0000 μB/atom
- Formation enthalpy at 0 K: -0.558 eV per atom

extended XYZ file:
```
11
Lattice="8.294 0.000 0.000 -4.147 7.183 0.000 0.000 0.000 4.211" Properties=species:S:1:pos:R:3 pbc="T T T"
Sm -2.472 4.282 0.000
Sm 1.675 2.901 0.000
Sm 4.944 0.000 0.000
Pd -3.374 5.844 2.105
Pd 0.773 1.339 2.105
Pd 6.748 0.000 2.105
Pt -1.522 2.637 2.105
Pt 0.000 4.789 2.105
Pt 3.045 0.000 2.105
Pt 2.625 4.546 2.105
Pt 4.147 2.394 2.105
```